[1]
HoNbO4: relaxed, GGA-PBE.

Unit cell a=5.0113 b=5.8620 c=5.9002 alpha=111.19 beta=90.00 gamma=90.00
With the nearest neighbours (Å) after each atom.
Fractional coordinates of all 12 atoms:
Ho: 0.5000 0.0000 0.5000  6 O 2.22-2.33
Ho: 0.0000 0.5000 0.5000  6 O 2.22-2.33
O: 0.6640 0.6218 0.3252  1 Nb 1.97
O: 0.8360 0.1218 0.3252  1 Nb 1.97
O: 0.3360 0.3782 0.6748  1 Nb 1.97
O: 0.1640 0.8782 0.6748  1 Nb 1.97
O: 0.2113 0.3195 0.1254  2 Nb 2.04-2.08
O: 0.2887 0.8195 0.1254  2 Nb 2.04-2.08
O: 0.7113 0.1805 0.8746  2 Nb 2.04-2.08
O: 0.7887 0.6805 0.8746  2 Nb 2.04-2.08
Nb: 0.0000 0.0000 0.0000  6 O 1.97-2.08
Nb: 0.5000 0.5000 0.0000  6 O 1.97-2.08

## Properties
M_tot = 0.0 μB/cell
space-group type = P2_1/c, No. 14



[2]
Ho2NbO: relaxed, GGA-PBE.

Unit cell a=3.2491 b=3.2491 c=8.9400 alpha=79.53 beta=79.53 gamma=60.00
With the nearest neighbours (Å) after each atom.
Fractional coordinates of all 4 atoms:
Ho: 0.8882 0.8882 0.3354  3 O 2.36
Ho: 0.1118 0.1118 0.6646  3 O 2.36
Nb: 0.0000 0.0000 0.0000  2 Ho 2.93, 6 Nb 3.25
O: 0.5000 0.5000 0.5000  6 Ho 2.36

## Properties
M_tot = 0.8 μB/cell
space-group type = R-3m, No. 166



[3]
HoNb3O6: relaxed, GGA-PBE.

Unit cell a=3.0740 b=9.2754 c=8.8814 alpha=108.51 beta=90.00 gamma=90.00
With the nearest neighbours (Å) after each atom.
Fractional coordinates of all 20 atoms:
O: 0.7500 0.1774 0.0700  3 Nb 2.21-2.25, 2 Ho 2.27
O: 0.2500 0.8226 0.9300  3 Nb 2.21-2.25, 2 Ho 2.27
O: 0.2500 0.5018 0.6907  4 Nb 2.20-2.44, 2 Ho 2.37
O: 0.7500 0.9267 0.2266  3 Nb 2.08-2.10
O: 0.7500 0.7507 0.6808  3 Nb 2.14
O: 0.7500 0.3757 0.8982  2 Nb 2.25, 3 Ho 2.42-2.45
O: 0.2500 0.8262 0.4309  3 Nb 2.01-2.12
O: 0.2500 0.6243 0.1018  2 Nb 2.25, 3 Ho 2.42-2.45
O: 0.2500 0.0733 0.7734  3 Nb 2.08-2.10
O: 0.2500 0.2493 0.3192  3 Nb 2.14
O: 0.7500 0.1738 0.5691  3 Nb 2.01-2.12
O: 0.7500 0.4982 0.3093  4 Nb 2.20-2.44, 2 Ho 2.37
Nb: 0.2500 0.0316 0.1384  6 O 2.10-2.25
Nb: 0.7500 0.9684 0.8616  6 O 2.10-2.25
Nb: 0.2500 0.2713 0.7101  4 O 2.01-2.20
Nb: 0.7500 0.3616 0.4817  4 O 2.12-2.28
Nb: 0.2500 0.6384 0.5183  4 O 2.12-2.28
Nb: 0.7500 0.7287 0.2899  4 O 2.01-2.20
Ho: 0.2500 0.3662 0.1099  8 O 2.27-2.45
Ho: 0.7500 0.6338 0.8901  8 O 2.27-2.45

## Properties
M_tot = 0.0 μB/cell
space-group type = P2_1/m, No. 11



no.,raw formation energy (eV/f.u.),Fermi-level density of states (states/eV/f.u.)
1,-18.13,0.0
2,-3.46,2.7
3,-24.29,2.2